(1)
Compound: BiSb2N
Source: the Alexandria database
Functional: PBE
Structure: optimized geometry

Computed properties:
- raw total energy (eV per atom) = -3.87
- space group = Fm-3m (225)
- crystal system = cubic
- excess energy over the best structure of this formula in the dataset (kJ/mol of atoms) = 65.4

a b c (Å): 5.076 5.076 5.076
angles (deg): 60.00 60.00 60.00
Atoms (fractional coordinates):
Bi 0.000 0.000 0.000
Sb 0.250 0.250 0.250
Sb 0.750 0.750 0.750
N 0.500 0.500 0.500

(2)
Compound: Bi2Sb4N3
Source: the Alexandria database
Functional: PBE
Structure: optimized geometry

Computed properties:
- raw total energy (eV per atom) = -4.82
- space group = Cccm (66)
- crystal system = orthorhombic

a b c (Å): 9.809 9.809 6.300
angles (deg): 90.00 90.00 137.71
Atoms (fractional coordinates):
Bi 0.006 0.286 0.000
Bi 0.286 0.006 0.500
Bi 0.714 0.994 0.500
Bi 0.994 0.714 0.000
Sb 0.219 0.632 0.500
Sb 0.244 0.325 0.500
Sb 0.325 0.244 0.000
Sb 0.368 0.781 0.000
Sb 0.632 0.219 0.000
Sb 0.675 0.756 0.000
Sb 0.756 0.675 0.500
Sb 0.781 0.368 0.500
N 0.080 0.920 0.250
N 0.080 0.920 0.750
N 0.500 0.500 0.250
N 0.500 0.500 0.750
N 0.920 0.080 0.250
N 0.920 0.080 0.750

(3)
Compound: BiSbN2
Source: the Alexandria database
Functional: PBE
Structure: optimized geometry

Computed properties:
- raw total energy (eV per atom) = -5.68
- space group = R-3m (166)
- crystal system = trigonal
- excess energy over the best structure of this formula in the dataset (kJ/mol of atoms) = 38.1

a b c (Å): 7.420 7.420 7.420
angles (deg): 25.73 25.73 25.73
Atoms (fractional coordinates):
Bi 0.000 0.000 0.000
Sb 0.500 0.500 0.500
N 0.116 0.116 0.116
N 0.884 0.884 0.884

Computed values of calculated volume (unit: Å³/cell) for the preceding records, in sequence: 92.5 407.9 67.8.